A geometry-optimized InMo2PtN structure, computed with PBE.

Crystal system: tetragonal
Uncorrected formation energy (eV/atom): 3.10
DFT total energy (eV per atom): -4.6503
Space-group type: P4/mmm, No. 123

a b c (Å): 5.334 4.940 5.334
angles (deg): 90.00 90.00 90.00
Positions (direct):
Pt 0.000 0.500 0.000
Mo 0.000 0.000 0.500
Mo 0.500 0.000 0.000
In 0.000 0.000 0.000
N 0.500 0.500 0.500

=====

A geometry-optimized YMo2Os structure, computed with PBE.

DFT formation energy (eV/atom): 0.608
Crystal system: tetragonal
DFT total energy (eV per atom): -9.2313
Relative energy among the computed polymorphs (meV/atom): 425
Space-group type: I-42d, No. 122

a b c (Å): 7.623 7.623 6.065
angles (deg): 51.07 51.07 90.00
Positions (direct):
Mo 0.681 0.125 0.250
Mo 0.875 0.931 0.750
Mo 0.375 0.319 0.750
Mo 0.069 0.625 0.250
Y 0.500 0.500 0.000
Y 0.250 0.750 0.500
Os 0.000 0.000 0.000
Os 0.750 0.250 0.500

=====

A geometry-optimized Y2Th4Sc5 structure, computed with PBE.

DFT formation energy (eV/atom): 0.048
Crystal system: monoclinic
DFT total energy (eV per atom): -6.7033
Space-group type: C2/m, No. 12

a b c (Å): 3.470 10.293 13.406
angles (deg): 138.07 97.44 90.00
Positions (direct):
Th 0.319 0.545 0.637
Th 0.681 0.455 0.363
Th 0.958 0.646 0.915
Th 0.042 0.354 0.085
Sc 0.863 0.900 0.727
Sc 0.771 0.189 0.543
Sc 0.137 0.100 0.273
Sc 0.500 0.000 0.000
Sc 0.229 0.811 0.457
Y 0.403 0.264 0.805
Y 0.597 0.736 0.195

=====

A geometry-optimized LuMgAg structure, computed with PBE.

DFT formation energy (eV/atom): -0.058
Crystal system: cubic
DFT total energy (eV per atom): -3.0473
Space-group type: F-43m, No. 216

a b c (Å): 4.773 4.773 4.773
angles (deg): 60.00 60.00 60.00
Positions (direct):
Lu 0.000 0.000 0.000
Ag 0.250 0.250 0.250
Mg 0.500 0.500 0.500

=====

Look up the DFT total energy of the third one. -6.7033 eV per atom